Compound: Pm2PrI6
Source: Alexandria via LeMat-Bulk
Functional: GGA-PBE
Structure: relaxed

Computed properties:
The total energy is -3.91 eV per atom. The uncorrected formation energy is -1.291 eV/atom. As for the space group: P-31m.

Geometry as CIF:
```
data_Pm2PrI6
_chemical_formula_sum 'Pm2 Pr1 I6'
_symmetry_space_group_name_H-M 'P 1'
_symmetry_Int_Tables_number 1
_symmetry_space_group_name_Hall 'P 1'
_cell_length_a 8.178
_cell_length_b 7.329
_cell_length_c 7.329
_cell_angle_alpha 120.00
_cell_angle_beta 90.00
_cell_angle_gamma 90.00
loop_
_atom_site_label
_atom_site_fract_x
_atom_site_fract_y
_atom_site_fract_z
_atom_site_occupancy
Pm1 0.500 0.667 0.333 1
Pm2 0.500 0.333 0.667 1
Pr1 0.500 0.000 0.000 1
I1 0.251 0.000 0.662 1
I2 0.251 0.338 0.338 1
I3 0.749 0.662 0.662 1
I4 0.749 0.000 0.338 1
I5 0.251 0.662 0.000 1
I6 0.749 0.338 0.000 1
```



Compound: PmPr2Rh2I2
Source: Alexandria via LeMat-Bulk
Functional: GGA-PBE
Structure: relaxed

Computed properties:
The total energy is -5.25 eV per atom. The uncorrected formation energy is -0.659 eV/atom. As for the space group: I4/mmm.

Geometry as CIF:
```
data_PmPr2Rh2I2
_chemical_formula_sum 'Pm1 Pr2 Rh2 I2'
_symmetry_space_group_name_H-M 'P 1'
_symmetry_Int_Tables_number 1
_symmetry_space_group_name_Hall 'P 1'
_cell_length_a 5.209
_cell_length_b 5.209
_cell_length_c 9.146
_cell_angle_alpha 106.54
_cell_angle_beta 106.54
_cell_angle_gamma 90.00
loop_
_atom_site_label
_atom_site_fract_x
_atom_site_fract_y
_atom_site_fract_z
_atom_site_occupancy
Rh1 0.000 0.500 0.000 1
Rh2 0.500 0.000 0.000 1
Pr1 0.605 0.605 0.210 1
Pr2 0.395 0.395 0.790 1
Pm1 0.000 0.000 0.000 1
I1 0.194 0.194 0.389 1
I2 0.806 0.806 0.611 1
```



Compound: PmPrSbI
Source: Alexandria via LeMat-Bulk
Functional: GGA-PBE
Structure: relaxed

Computed properties:
The total energy is -4.77 eV per atom. The uncorrected formation energy is -0.971 eV/atom. As for the space group: F-43m.

Geometry as CIF:
```
data_PmPrSbI
_chemical_formula_sum 'Pm1 Pr1 Sb1 I1'
_symmetry_space_group_name_H-M 'P 1'
_symmetry_Int_Tables_number 1
_symmetry_space_group_name_Hall 'P 1'
_cell_length_a 5.522
_cell_length_b 5.522
_cell_length_c 5.522
_cell_angle_alpha 60.00
_cell_angle_beta 60.00
_cell_angle_gamma 60.00
loop_
_atom_site_label
_atom_site_fract_x
_atom_site_fract_y
_atom_site_fract_z
_atom_site_occupancy
Pr1 0.750 0.750 0.750 1
I1 0.500 0.500 0.500 1
Sb1 0.000 0.000 0.000 1
Pm1 0.250 0.250 0.250 1
```



Compound: PmPrSeI
Source: Alexandria via LeMat-Bulk
Functional: GGA-PBE
Structure: relaxed

Computed properties:
The total energy is -4.98 eV per atom. The uncorrected formation energy is -1.342 eV/atom. As for the space group: Cm.

Geometry as CIF:
```
data_PmPrSeI
_chemical_formula_sum 'Pm1 Pr1 Se1 I1'
_symmetry_space_group_name_H-M 'P 1'
_symmetry_Int_Tables_number 1
_symmetry_space_group_name_Hall 'P 1'
_cell_length_a 4.123
_cell_length_b 4.125
_cell_length_c 8.474
_cell_angle_alpha 90.00
_cell_angle_beta 104.01
_cell_angle_gamma 120.02
loop_
_atom_site_label
_atom_site_fract_x
_atom_site_fract_y
_atom_site_fract_z
_atom_site_occupancy
I1 0.965 0.381 0.362 1
Pr1 0.499 0.147 0.661 1
Pm1 0.108 0.952 0.075 1
Se1 0.306 0.551 0.872 1
```



Compound: PmPrSeI
Source: Alexandria via LeMat-Bulk
Functional: GGA-PBE
Structure: relaxed

Computed properties:
The total energy is -4.84 eV per atom. The uncorrected formation energy is -1.198 eV/atom. As for the space group: F-43m.

Geometry as CIF:
```
data_PmPrSeI
_chemical_formula_sum 'Pm1 Pr1 Se1 I1'
_symmetry_space_group_name_H-M 'P 1'
_symmetry_Int_Tables_number 1
_symmetry_space_group_name_Hall 'P 1'
_cell_length_a 5.339
_cell_length_b 5.339
_cell_length_c 5.339
_cell_angle_alpha 60.00
_cell_angle_beta 60.00
_cell_angle_gamma 60.00
loop_
_atom_site_label
_atom_site_fract_x
_atom_site_fract_y
_atom_site_fract_z
_atom_site_occupancy
Pm1 0.500 0.500 0.500 1
Se1 0.250 0.250 0.250 1
Pr1 0.000 0.000 0.000 1
I1 0.750 0.750 0.750 1
```



Compound: PmPrSiI
Source: Alexandria via LeMat-Bulk
Functional: GGA-PBE
Structure: relaxed

Computed properties:
The total energy is -5.05 eV per atom. The uncorrected formation energy is -0.927 eV/atom. As for the space group: R3m.

Geometry as CIF:
```
data_PmPrSiI
_chemical_formula_sum 'Pm1 Pr1 Si1 I1'
_symmetry_space_group_name_H-M 'P 1'
_symmetry_Int_Tables_number 1
_symmetry_space_group_name_Hall 'P 1'
_cell_length_a 4.286
_cell_length_b 4.287
_cell_length_c 8.277
_cell_angle_alpha 90.00
_cell_angle_beta 105.00
_cell_angle_gamma 120.00
loop_
_atom_site_label
_atom_site_fract_x
_atom_site_fract_y
_atom_site_fract_z
_atom_site_occupancy
Pr1 0.101 0.948 0.065 1
I1 0.970 0.383 0.368 1
Pm1 0.505 0.150 0.671 1
Si1 0.302 0.549 0.867 1
```



Compound: PmPrTeI2
Source: Alexandria via LeMat-Bulk
Functional: GGA-PBE
Structure: relaxed

Computed properties:
The total energy is -4.45 eV per atom. The uncorrected formation energy is -1.291 eV/atom. As for the space group: P2_1/m.

Geometry as CIF:
```
data_PmPrTeI2
_chemical_formula_sum 'Pm2 Pr2 Te2 I4'
_symmetry_space_group_name_H-M 'P 1'
_symmetry_Int_Tables_number 1
_symmetry_space_group_name_Hall 'P 1'
_cell_length_a 4.365
_cell_length_b 7.819
_cell_length_c 11.556
_cell_angle_alpha 104.46
_cell_angle_beta 90.00
_cell_angle_gamma 90.00
loop_
_atom_site_label
_atom_site_fract_x
_atom_site_fract_y
_atom_site_fract_z
_atom_site_occupancy
Pr1 0.750 0.221 0.995 1
Pr2 0.250 0.779 0.005 1
Te1 0.750 0.991 0.184 1
Te2 0.250 0.009 0.816 1
I1 0.250 0.273 0.507 1
I2 0.750 0.727 0.493 1
I3 0.250 0.486 0.170 1
I4 0.750 0.514 0.830 1
Pm1 0.750 0.115 0.655 1
Pm2 0.250 0.885 0.345 1
```



Compound: PmPtI
Source: Alexandria via LeMat-Bulk
Functional: GGA-PBE
Structure: relaxed

Computed properties:
The total energy is -5.34 eV per atom. The uncorrected formation energy is -1.222 eV/atom. As for the space group: C2/m.

Geometry as CIF:
```
data_PmPtI
_chemical_formula_sum 'Pm2 Pt2 I2'
_symmetry_space_group_name_H-M 'P 1'
_symmetry_Int_Tables_number 1
_symmetry_space_group_name_Hall 'P 1'
_cell_length_a 4.376
_cell_length_b 4.376
_cell_length_c 12.134
_cell_angle_alpha 88.84
_cell_angle_beta 88.84
_cell_angle_gamma 60.01
loop_
_atom_site_label
_atom_site_fract_x
_atom_site_fract_y
_atom_site_fract_z
_atom_site_occupancy
I1 0.321 0.321 0.833 1
I2 0.679 0.679 0.167 1
Pm1 0.006 0.006 0.340 1
Pm2 0.994 0.994 0.660 1
Pt1 0.335 0.335 0.465 1
Pt2 0.665 0.665 0.535 1
```



Compound: Pm4PtI5
Source: Alexandria via LeMat-Bulk
Functional: GGA-PBE
Structure: relaxed

Computed properties:
The total energy is -4.54 eV per atom. The uncorrected formation energy is -1.257 eV/atom. As for the space group: C2/m.

Geometry as CIF:
```
data_Pm4PtI5
_chemical_formula_sum 'Pm4 Pt1 I5'
_symmetry_space_group_name_H-M 'P 1'
_symmetry_Int_Tables_number 1
_symmetry_space_group_name_Hall 'P 1'
_cell_length_a 4.245
_cell_length_b 9.145
_cell_length_c 10.126
_cell_angle_alpha 102.50
_cell_angle_beta 102.10
_cell_angle_gamma 90.00
loop_
_atom_site_label
_atom_site_fract_x
_atom_site_fract_y
_atom_site_fract_z
_atom_site_occupancy
I1 0.168 0.344 0.336 1
I2 0.500 0.500 0.000 1
I3 0.832 0.656 0.664 1
I4 0.175 0.828 0.350 1
I5 0.825 0.172 0.650 1
Pm1 0.999 0.792 0.999 1
Pm2 0.647 0.076 0.295 1
Pm3 0.353 0.924 0.705 1
Pm4 0.001 0.208 0.001 1
Pt1 0.500 0.000 0.000 1
```



Compound: Pm3PtI
Source: Alexandria via LeMat-Bulk
Functional: GGA-PBE
Structure: relaxed

Computed properties:
The total energy is -5.11 eV per atom. The uncorrected formation energy is -0.737 eV/atom. As for the space group: Pmmn.

Geometry as CIF:
```
data_Pm3PtI
_chemical_formula_sum 'Pm6 Pt2 I2'
_symmetry_space_group_name_H-M 'P 1'
_symmetry_Int_Tables_number 1
_symmetry_space_group_name_Hall 'P 1'
_cell_length_a 3.955
_cell_length_b 9.649
_cell_length_c 8.594
_cell_angle_alpha 90.00
_cell_angle_beta 90.00
_cell_angle_gamma 90.00
loop_
_atom_site_label
_atom_site_fract_x
_atom_site_fract_y
_atom_site_fract_z
_atom_site_occupancy
Pm1 0.250 0.250 0.761 1
Pm2 0.750 0.750 0.239 1
Pm3 0.750 0.929 0.837 1
Pm4 0.250 0.429 0.163 1
Pm5 0.750 0.571 0.837 1
Pm6 0.250 0.071 0.163 1
I1 0.250 0.750 0.559 1
I2 0.750 0.250 0.441 1
Pt1 0.750 0.250 0.996 1
Pt2 0.250 0.750 0.004 1
```